(1)
First-principles (GGA-PBE) data for a geometry-optimized PaTa2Fe structure, as listed in the Alexandria database.

a = 3.0216 Å, b = 3.0216 Å, c = 7.9572 Å
α = 90.00°, β = 90.00°, γ = 90.00°
Closest atoms and distances in Å follow each position.
Element x y z (fractional)
Ta: 0.0000 0.0000 0.8038  4 Fe 2.65
Fe: 0.5000 0.5000 0.0000  8 Ta 2.65
Pa: 0.5000 0.5000 0.5000  4 Pa 3.02, 8 Ta 3.23
Ta: 0.0000 0.0000 0.1962  4 Fe 2.65

Space-group type: P4/mmm (123)
Energy of formation: 0.08 eV per atom

***

(2)
First-principles (GGA-PBE) data for a geometry-optimized PaTaFe4 structure, as listed in the Alexandria database.

a = 4.9457 Å, b = 4.9457 Å, c = 4.9457 Å
α = 60.00°, β = 60.00°, γ = 60.00°
Closest atoms and distances in Å follow each position.
Element x y z (fractional)
Fe: 0.6255 0.6255 0.6255  6 Fe 2.46-2.48
Fe: 0.1236 0.6255 0.6255  6 Fe 2.46-2.48
Fe: 0.6255 0.1236 0.6255  6 Fe 2.46-2.48
Pa: 0.2500 0.2500 0.2500  12 Fe 2.90, 4 Ta 3.03
Fe: 0.6255 0.6255 0.1236  6 Fe 2.46-2.48
Ta: 0.0000 0.0000 0.0000  12 Fe 2.90, 4 Pa 3.03

Space-group type: F-43m (216)
Energy of formation: -0.07 eV per atom

***

(3)
First-principles (GGA-PBE) data for a geometry-optimized Tb2PaFe2 structure, as listed in the Alexandria database.

a = 5.9273 Å, b = 5.9273 Å, c = 6.8748 Å
α = 83.42°, β = 83.42°, γ = 62.19°
Closest atoms and distances in Å follow each position.
Element x y z (fractional)
Tb: 0.4575 0.2399 0.1456  4 Fe 2.86-2.96
Tb: 0.7601 0.5425 0.3544  4 Fe 2.86-2.96
Fe: 0.6966 0.0009 0.5194  1 Fe 2.38, 2 Pa 2.39-2.65
Tb: 0.2399 0.4575 0.6456  4 Fe 2.86-2.96
Pa: 0.0780 0.9220 0.2500  4 Fe 2.39-2.65
Fe: 0.0009 0.6966 0.0194  1 Fe 2.38, 2 Pa 2.39-2.65
Fe: 0.3034 0.9991 0.4806  1 Fe 2.38, 2 Pa 2.39-2.65
Pa: 0.9220 0.0780 0.7500  4 Fe 2.39-2.65
Fe: 0.9991 0.3034 0.9806  1 Fe 2.38, 2 Pa 2.39-2.65
Tb: 0.5425 0.7601 0.8544  4 Fe 2.86-2.96

Space-group type: C2/c (15)
Energy of formation: -0.16 eV per atom

***

(4)
First-principles (GGA-PBE) data for a geometry-optimized TbPaFe2 structure, as listed in the Alexandria database.

a = 3.3056 Å, b = 3.3056 Å, c = 6.8035 Å
α = 90.00°, β = 90.00°, γ = 90.00°
Closest atoms and distances in Å follow each position.
Element x y z (fractional)
Fe: 0.0000 0.0000 0.2022  4 Pa 2.71, 1 Fe 2.75
Tb: 0.5000 0.5000 0.5000  8 Fe 3.09, 4 Tb 3.31, 2 Pa 3.40
Pa: 0.5000 0.5000 0.0000  8 Fe 2.71
Fe: 0.0000 0.0000 0.7978  4 Pa 2.71, 1 Fe 2.75

Space-group type: P4/mmm (123)
Energy of formation: -0.05 eV per atom

***

(5)
First-principles (GGA-PBE) data for a geometry-optimized TbPaFe4 structure, as listed in the Alexandria database.

a = 5.1072 Å, b = 5.1072 Å, c = 5.1072 Å
α = 60.00°, β = 60.00°, γ = 60.00°
Closest atoms and distances in Å follow each position.
Element x y z (fractional)
Fe: 0.6256 0.6256 0.1232  6 Fe 2.54-2.57
Tb: 0.2500 0.2500 0.2500  12 Fe 3.00, 4 Pa 3.13
Fe: 0.1232 0.6256 0.6256  6 Fe 2.54-2.57
Fe: 0.6256 0.1232 0.6256  6 Fe 2.54-2.57
Fe: 0.6256 0.6256 0.6256  6 Fe 2.54-2.57
Pa: 0.0000 0.0000 0.0000  12 Fe 2.99, 4 Tb 3.13

Space-group type: F-43m (216)
Energy of formation: -0.08 eV per atom

***

(6)
First-principles (GGA-PBE) data for a geometry-optimized TbPa2Fe structure, as listed in the Alexandria database.

a = 3.5818 Å, b = 3.5818 Å, c = 8.9891 Å
α = 78.51°, β = 78.51°, γ = 60.00°
Closest atoms and distances in Å follow each position.
Element x y z (fractional)
Tb: 0.5000 0.5000 0.5000  6 Pa 3.48, 6 Tb 3.58
Fe: 0.0000 0.0000 0.0000  6 Pa 2.60
Pa: 0.2734 0.2734 0.1799  3 Fe 2.60
Pa: 0.7266 0.7266 0.8201  3 Fe 2.60

Space-group type: R-3m (166)
Energy of formation: 0.04 eV per atom

***

Q: The highest energy of formation belongs to which entry?
A: PaTa2Fe